[1]
The following is a GGA-PBE calculation of a geometry-optimized PrErV structure, from Alexandria via LeMat-Bulk.

Unit cell a=3.435 b=3.435 c=13.737 alpha=90.00 beta=90.00 gamma=90.00
Sites, in units of the cell vectors:
V 0.000 0.000 0.000
V 0.500 0.500 0.000
Er 0.000 0.500 0.591
Er 0.500 0.000 0.409
Pr 0.000 0.500 0.203
Pr 0.500 0.000 0.797

Output
The space-group type is No. 129. Its formation energy is 1.2 eV/f.u.



[2]
The following is a GGA-PBE calculation of a geometry-optimized Pm2PbO structure, from Alexandria via LeMat-Bulk.

Unit cell a=4.658 b=4.658 c=9.170 alpha=90.02 beta=90.02 gamma=90.00
Sites, in units of the cell vectors:
Pm 0.750 0.750 0.832
Pm 0.750 0.250 0.500
Pm 0.250 0.250 0.168
Pm 0.250 0.750 0.500
Pb 0.250 0.250 0.801
Pb 0.750 0.750 0.199
O 0.250 0.250 0.424
O 0.750 0.750 0.576

Output
As for the polymorph energy (0 for the lowest one): 0 meV per atom. The formation energy from raw total energies comes out at -1.760 eV per atom. The space-group type is No. 129.



[3]
The following is a GGA-PBE calculation of a geometry-optimized TiInI structure, from Alexandria via LeMat-Bulk.

Unit cell a=3.535 b=5.744 c=9.313 alpha=84.62 beta=79.06 gamma=72.08
Sites, in units of the cell vectors:
Ti 0.300 0.810 0.589
Ti 0.700 0.190 0.411
In 0.981 0.677 0.361
In 0.019 0.323 0.639
I 0.294 0.243 0.168
I 0.706 0.757 0.832

Output
The formation energy from raw total energies comes out at -0.092 eV per atom. The space-group type is No. 12.



Q: Which ρ values were calculated for the entries above? A: 7.4, 8.6, 5.4, in g cm⁻³.
Q: Which E values were calculated for the entries above? A: -0.212, -0.232, -0.153, in hartree per atom.